No. 1
This record from Alexandria via LeMat-Bulk describes a relaxed structure of Er5ZrCu6. The functional is PBE-GGA. Values from VASP.

Output
**Raw total energy**: -4.8943 eV/atom
**Formation energy from the elements**: -0.233 eV/atom

The structure in Quantum ESPRESSO input format:
```
&SYSTEM
  ibrav = 0, nat = 12, ntyp = 3
/
ATOMIC_SPECIES
Er 167.26 Er.upf
Zr 91.22 Zr.upf
Cu 63.55 Cu.upf
CELL_PARAMETERS angstrom
4.5807 -0.0274 1.5279
0.0364 6.7879 0.0121
-0.0007 -0.0137 7.6447
ATOMIC_POSITIONS angstrom
Er 1.5615 6.7742 3.0821
Er 0.0182 3.3940 0.0061
Er 3.0549 -0.0274 6.1027
Er 3.0746 3.3666 6.1049
Zr 0.0000 0.0000 0.0000
Er 1.5418 3.3802 3.0798
Cu 3.8800 5.1273 3.7427
Cu 0.7364 1.6194 5.4420
Cu 3.8615 1.6057 3.7366
Cu 2.3178 5.2102 8.4179
Cu 2.2987 1.5366 0.7668
Cu 0.7549 5.1411 5.4481
```

No. 2
This record from Alexandria via LeMat-Bulk describes a relaxed structure of Er3Zr2Cu3. The functional is PBE-GGA. Values from VASP.

Output
**Raw total energy**: -5.5545 eV/atom
**Formation energy from the elements**: -0.170 eV/atom

The structure in Quantum ESPRESSO input format:
```
&SYSTEM
  ibrav = 0, nat = 8, ntyp = 3
/
ATOMIC_SPECIES
Er 167.26 Er.upf
Cu 63.55 Cu.upf
Zr 91.22 Zr.upf
CELL_PARAMETERS angstrom
-2.0162 2.5815 0.7524
-3.9414 -2.8966 -0.6233
3.3301 -2.4434 9.8008
ATOMIC_POSITIONS angstrom
Er 0.2664 -1.9722 7.4805
Cu 0.0844 -0.6245 2.3687
Er -2.8939 -0.7863 2.4494
Zr -0.8459 0.0899 4.9311
Zr -1.7816 -2.8484 4.9988
Cu -2.7118 -2.1340 7.5612
Er -1.0081 1.2908 0.3762
Cu -1.9707 -1.4483 -0.3117
```

No. 3
This record from Alexandria via LeMat-Bulk describes a relaxed structure of ErZr2Cu9. The functional is PBE-GGA. Values from VASP.

Output
**Raw total energy**: -5.0249 eV/atom
**Formation energy from the elements**: -0.148 eV/atom

The structure in Quantum ESPRESSO input format:
```
&SYSTEM
  ibrav = 0, nat = 12, ntyp = 3
/
ATOMIC_SPECIES
Cu 63.55 Cu.upf
Zr 91.22 Zr.upf
Er 167.26 Er.upf
CELL_PARAMETERS angstrom
-1.4356 1.9040 4.4647
-4.8701 -0.1570 1.3701
-0.8880 -6.6710 5.4285
ATOMIC_POSITIONS angstrom
Cu -3.5661 0.0069 6.0239
Cu -4.3458 -3.9784 7.4727
Zr -5.7575 -1.5288 7.4080
Cu -2.0984 0.5613 1.9550
Cu -5.0954 -5.4853 9.3082
Zr -1.4363 -3.3952 3.8552
Cu -1.9097 -3.8999 6.7874
Cu -3.6276 -4.9309 5.2394
Er 0.0000 0.0000 0.0000
Cu -2.8480 -0.9455 3.7905
Cu -3.5969 -2.4620 5.6316
Cu -5.2841 -1.0241 4.4759
```